This record from the Alexandria database describes Tb3Co3Si8 after structural relaxation. The functional is GGA-PBE.

a = 4.0304 Å, b = 7.6683 Å, c = 8.3445 Å
α = 62.94°, β = 76.02°, γ = 74.76°
Fractional coordinates of all 14 atoms:
1 Tb 0.2927 0.7554 0.6593
2 Tb 0.7073 0.2446 0.3407
3 Tb 0.0000 0.0000 0.0000
4 Co 0.0000 0.5000 0.5000
5 Co 0.6769 0.6564 0.9898
6 Co 0.3231 0.3436 0.0102
7 Si 0.1099 0.1640 0.6163
8 Si 0.8901 0.8360 0.3837
9 Si 0.8546 0.4347 0.8561
10 Si 0.1454 0.5653 0.1439
11 Si 0.5222 0.6684 0.2872
12 Si 0.4778 0.3316 0.7128
13 Si 0.3650 0.0257 0.2443
14 Si 0.6350 0.9743 0.7557

Results
The calculation puts the calculated density at 6.65 g/cm³. The calculation puts the calculated total energy at -6.140 eV/atom. Its energy above the most stable polymorph in this dataset is 0 meV per atom. The calculation puts the energy relative to the elements, uncorrected at -0.527 eV per atom. As for the space group: C2/m (12). The density of states at the Fermi level is 7.97 states/eV/cell.

=====

This record from the Alexandria database describes CsTl3Hg2 after structural relaxation. The functional is GGA-PBE.

a = 6.8029 Å, b = 7.9478 Å, c = 7.9478 Å
α = 100.49°, β = 90.00°, γ = 90.00°
Fractional coordinates of all 12 atoms:
1 Cs 0.2500 0.3569 0.3569
2 Cs 0.7500 0.6431 0.6431
3 Tl 0.7500 0.4316 0.1052
4 Tl 0.7500 0.1052 0.4316
5 Tl 0.2500 0.5684 0.8948
6 Tl 0.7500 0.0136 0.0136
7 Tl 0.2500 0.9864 0.9864
8 Tl 0.2500 0.8948 0.5684
9 Hg 0.5000 0.7632 0.2368
10 Hg 0.0000 0.7632 0.2368
11 Hg 0.0000 0.2368 0.7632
12 Hg 0.5000 0.2368 0.7632

Results
The calculation puts the calculated density at 9.02 g/cm³. The calculation puts the calculated total energy at -1.500 eV/atom. Its energy above the most stable polymorph in this dataset is 40 meV per atom. As for the space group: Cmcm (63). The density of states at the Fermi level is 5.17 states/eV/cell.

=====

Please write out number 2 again, unchanged.
This record from the Alexandria database describes CsTl3Hg2 after structural relaxation. The functional is GGA-PBE.

a = 6.8029 Å, b = 7.9478 Å, c = 7.9478 Å
α = 100.49°, β = 90.00°, γ = 90.00°
Fractional coordinates of all 12 atoms:
1 Cs 0.2500 0.3569 0.3569
2 Cs 0.7500 0.6431 0.6431
3 Tl 0.7500 0.4316 0.1052
4 Tl 0.7500 0.1052 0.4316
5 Tl 0.2500 0.5684 0.8948
6 Tl 0.7500 0.0136 0.0136
7 Tl 0.2500 0.9864 0.9864
8 Tl 0.2500 0.8948 0.5684
9 Hg 0.5000 0.7632 0.2368
10 Hg 0.0000 0.7632 0.2368
11 Hg 0.0000 0.2368 0.7632
12 Hg 0.5000 0.2368 0.7632

Results
The calculation puts the calculated density at 9.02 g/cm³. The calculation puts the calculated total energy at -1.500 eV/atom. Its energy above the most stable polymorph in this dataset is 40 meV per atom. As for the space group: Cmcm (63). The density of states at the Fermi level is 5.17 states/eV/cell.

=====

What is the formula in the first record? Tb3Co3Si8

=====

Which formula does entry 2 have? CsTl3Hg2